# 1
Compound: Ca2ZrCd
Source: Alexandria via LeMat-Bulk
Functional: PBE-GGA
Structure: relaxed

Unit cell a=6.0648 b=6.0648 c=6.0648 alpha=133.48 beta=133.48 gamma=67.90
Positions (direct):
Ca 0.0000 0.0000 0.0000
Ca 0.7500 0.2500 0.5000
Zr 0.5000 0.5000 0.0000
Cd 0.2500 0.7500 0.5000

## Properties
E_form (eV/atom): 0.236
Final energy (eV/atom): -3.1307
Total magnetic moment (μB/f.u.): 2.8
SG: No. 119

# 2
Compound: CsRuPt2
Source: Alexandria via LeMat-Bulk
Functional: PBE-GGA
Structure: relaxed

Unit cell a=8.9077 b=8.9077 c=8.9077 alpha=143.48 beta=143.48 gamma=52.60
Positions (direct):
Cs 0.3750 0.6250 0.7500
Cs 0.6250 0.3750 0.2500
Ru 0.1250 0.8750 0.2500
Ru 0.8750 0.1250 0.7500
Pt 0.0000 0.0000 0.0000
Pt 0.0000 0.0000 0.5000
Pt 0.0000 0.5000 0.0000
Pt 0.5000 0.0000 0.5000

## Properties
E_form (eV/atom): 0.556
Final energy (eV/atom): -4.9965
Total magnetic moment (μB/f.u.): 0.0
SG: No. 141

# 3
Compound: Nd3SmAu4
Source: Alexandria via LeMat-Bulk
Functional: PBE-GGA
Structure: relaxed

Unit cell a=8.3355 b=8.3355 c=5.2218 alpha=108.20 beta=108.20 gamma=36.51
Positions (direct):
Nd 0.0000 0.0000 0.0000
Nd 0.2510 0.2510 0.2510
Nd 0.7490 0.7490 0.7490
Sm 0.5000 0.5000 0.5000
Au 0.1230 0.1230 0.6229
Au 0.3770 0.3770 0.8769
Au 0.6230 0.6230 0.1231
Au 0.8770 0.8770 0.3771

## Properties
E_form (eV/atom): -0.771
Final energy (eV/atom): -4.7871
Total magnetic moment (μB/f.u.): 0.0
SG: No. 12

# 4
Compound: Sr3Pd2Au
Source: Alexandria via LeMat-Bulk
Functional: PBE-GGA
Structure: relaxed

Unit cell a=8.4108 b=8.4108 c=3.7971 alpha=90.00 beta=90.00 gamma=143.06
Positions (direct):
Sr 0.0000 0.0000 0.0000
Sr 0.3297 0.6703 0.0000
Sr 0.6703 0.3297 0.0000
Pd 0.1662 0.8338 0.5000
Pd 0.8338 0.1662 0.5000
Au 0.5000 0.5000 0.5000

## Properties
E_form (eV/atom): -0.621
Final energy (eV/atom): -3.7391
Total magnetic moment (μB/f.u.): 0.0
SG: No. 65

# 5
Compound: In2FeSb
Source: Alexandria via LeMat-Bulk
Functional: PBE-GGA
Structure: relaxed

Unit cell a=4.6847 b=4.6847 c=4.1550 alpha=90.00 beta=90.00 gamma=90.00
Positions (direct):
In 0.0000 0.5000 0.0000
In 0.5000 0.0000 0.0000
Fe 0.0000 0.0000 0.5000
Sb 0.5000 0.5000 0.5000

## Properties
Formation energy from raw total energies (eV per atom): 0.45
Final energy (eV/atom): -4.0631
Total magnetic moment (μB/f.u.): 2.9
SG: No. 123

# 6
Compound: K2NaNb
Source: Alexandria via LeMat-Bulk
Functional: PBE-GGA
Structure: relaxed

Unit cell a=6.2104 b=6.2104 c=6.2104 alpha=60.00 beta=60.00 gamma=60.00
Positions (direct):
K 0.2500 0.2500 0.2500
K 0.7500 0.7500 0.7500
Na 0.0000 0.0000 0.0000
Nb 0.5000 0.5000 0.5000

## Properties
E_form (eV/atom): 1.123
Final energy (eV/atom): -2.2731
Total magnetic moment (μB/f.u.): 5.0
SG: No. 225

# 7
Compound: KBa2MnTc
Source: Alexandria via LeMat-Bulk
Functional: PBE-GGA
Structure: relaxed

Unit cell a=6.2991 b=6.2991 c=5.0710 alpha=90.00 beta=90.00 gamma=90.00
Positions (direct):
K 0.0000 0.0000 0.0000
Ba 0.0000 0.5000 0.0000
Ba 0.5000 0.0000 0.0000
Mn 0.0000 0.0000 0.5000
Tc 0.5000 0.5000 0.5000

## Properties
E_form (eV/atom): 1.801
Final energy (eV/atom): -3.0950
Total magnetic moment (μB/f.u.): 6.2
SG: No. 123

# 8
Compound: LaTaCr2
Source: Alexandria via LeMat-Bulk
Functional: PBE-GGA
Structure: relaxed

Unit cell a=4.7482 b=4.7482 c=3.2515 alpha=90.00 beta=90.00 gamma=90.00
Positions (direct):
La 0.0000 0.0000 0.0000
Ta 0.5000 0.5000 0.0000
Cr 0.0000 0.5000 0.5000
Cr 0.5000 0.0000 0.5000

## Properties
E_form (eV/atom): 0.639
Final energy (eV/atom): -8.3682
Total magnetic moment (μB/f.u.): 3.4
SG: No. 123

# 9
Compound: NaZrCo2
Source: Alexandria via LeMat-Bulk
Functional: PBE-GGA
Structure: relaxed

Unit cell a=5.6466 b=5.6466 c=5.6466 alpha=104.05 beta=104.05 gamma=120.95
Positions (direct):
Na 0.0000 0.0000 0.0000
Na 0.7500 0.2500 0.5000
Zr 0.2500 0.7500 0.5000
Zr 0.5000 0.5000 0.0000
Co 0.1393 0.6250 0.0143
Co 0.3750 0.3893 0.5143
Co 0.6107 0.1250 0.9857
Co 0.8750 0.8607 0.4857

## Properties
E_form (eV/atom): 0.708
Final energy (eV/atom): -5.3122
Total magnetic moment (μB/f.u.): 0.9
SG: No. 122

# 10
Compound: CaScBi2Pb
Source: Alexandria via LeMat-Bulk
Functional: PBE-GGA
Structure: relaxed

Unit cell a=5.7252 b=5.7252 c=5.6978 alpha=90.00 beta=90.00 gamma=90.00
Positions (direct):
Ca 0.0000 0.0000 0.0000
Sc 0.5000 0.5000 0.5000
Bi 0.0000 0.5000 0.0000
Bi 0.5000 0.0000 0.0000
Pb 0.0000 0.0000 0.5000

## Properties
E_form (eV/atom): 0.526
Final energy (eV/atom): -3.4350
Total magnetic moment (μB/f.u.): 0.0
SG: No. 123

# 11
Compound: Dy3Tl2Zn2
Source: Alexandria via LeMat-Bulk
Functional: PBE-GGA
Structure: relaxed

Unit cell a=11.0091 b=11.0091 c=3.5875 alpha=90.00 beta=90.00 gamma=157.06
Positions (direct):
Dy 0.0000 0.0000 0.0000
Dy 0.1662 0.8338 0.0000
Dy 0.8338 0.1662 0.0000
Tl 0.4176 0.5824 0.5000
Tl 0.5824 0.4176 0.5000
Zn 0.2802 0.7198 0.5000
Zn 0.7198 0.2802 0.5000

## Properties
E_form (eV/atom): -0.341
Final energy (eV/atom): -3.3537
Total magnetic moment (μB/f.u.): 0.4
SG: No. 65

# 12
Compound: La8Co3TcCl4
Source: Alexandria via LeMat-Bulk
Functional: PBE-GGA
Structure: relaxed

Unit cell a=9.0070 b=9.0070 c=9.0070 alpha=53.31 beta=53.31 gamma=53.31
Positions (direct):
La 0.2312 0.2312 0.2312
La 0.2359 0.7350 0.7350
La 0.2650 0.2650 0.7641
La 0.2650 0.7641 0.2650
La 0.7350 0.2359 0.7350
La 0.7350 0.7350 0.2359
La 0.7641 0.2650 0.2650
La 0.7688 0.7688 0.7688
Co 0.0000 0.0000 0.5000
Co 0.0000 0.5000 0.0000
Co 0.5000 0.0000 0.0000
Tc 0.5000 0.5000 0.5000
Cl 0.0000 0.0000 0.0000
Cl 0.0000 0.5000 0.5000
Cl 0.5000 0.0000 0.5000
Cl 0.5000 0.5000 0.0000

## Properties
Formation energy from raw total energies (eV per atom): -0.88
Final energy (eV/atom): -5.7881
Total magnetic moment (μB/f.u.): 0.0
SG: No. 166

# 13
Compound: SrNiHg2Ge
Source: Alexandria via LeMat-Bulk
Functional: PBE-GGA
Structure: relaxed

Unit cell a=5.1044 b=5.1044 c=4.6340 alpha=90.00 beta=90.00 gamma=90.00
Positions (direct):
Sr 0.0000 0.0000 0.0000
Ni 0.5000 0.5000 0.5000
Hg 0.0000 0.5000 0.5000
Hg 0.5000 0.0000 0.5000
Ge 0.5000 0.5000 0.0000

## Properties
E_form (eV/atom): -0.226
Final energy (eV/atom): -2.7624
Total magnetic moment (μB/f.u.): 0.0
SG: No. 123

# 14
Compound: Cs2AlGa2Sb4
Source: Alexandria via LeMat-Bulk
Functional: PBE-GGA
Structure: relaxed

Unit cell a=8.7511 b=8.7511 c=8.9902 alpha=104.66 beta=104.66 gamma=27.59
Positions (direct):
Cs 0.1311 0.1311 0.0525
Cs 0.8689 0.8689 0.9475
Al 0.0000 0.0000 0.5000
Ga 0.3312 0.3312 0.5353
Ga 0.6688 0.6688 0.4647
Sb 0.2003 0.2003 0.6688
Sb 0.4905 0.4905 0.7049
Sb 0.5095 0.5095 0.2951
Sb 0.7997 0.7997 0.3312

## Properties
Formation energy from raw total energies (eV per atom): -0.22
Final energy (eV/atom): -3.3290
Total magnetic moment (μB/f.u.): 0.0
SG: No. 12

# 15
Compound: Tb2Er2Sb3
Source: Alexandria via LeMat-Bulk
Functional: PBE-GGA
Structure: relaxed

Unit cell a=7.9446 b=7.9446 c=7.9446 alpha=109.47 beta=109.47 gamma=109.47
Positions (direct):
Tb 0.0000 0.1469 0.5000
Tb 0.1469 0.5000 0.0000
Tb 0.3531 0.3531 0.3531
Tb 0.5000 0.0000 0.1469
Er 0.0000 0.6436 0.5000
Er 0.5000 0.0000 0.6436
Er 0.6436 0.5000 0.0000
Er 0.8564 0.8564 0.8564
Sb 0.1227 0.8727 0.2500
Sb 0.2500 0.1227 0.8727
Sb 0.3773 0.6273 0.7500
Sb 0.6273 0.7500 0.3773
Sb 0.7500 0.3773 0.6273
Sb 0.8727 0.2500 0.1227

## Properties
Formation energy from raw total energies (eV per atom): -0.98
Final energy (eV/atom): -5.3716
Total magnetic moment (μB/f.u.): 0.0
SG: No. 199

# 16
Compound: Pr2Ag2Pt15
Source: Alexandria via LeMat-Bulk
Functional: PBE-GGA
Structure: relaxed

Unit cell a=7.0262 b=7.0262 c=7.0262 alpha=83.66 beta=83.66 gamma=83.66
Positions (direct):
Pr 0.1559 0.1559 0.1559
Pr 0.8441 0.8441 0.8441
Ag 0.3998 0.3998 0.3998
Ag 0.6002 0.6002 0.6002
Pt 0.0000 0.5000 0.5000
Pt 0.1563 0.1563 0.6627
Pt 0.1563 0.6627 0.1563
Pt 0.1855 0.5000 0.8145
Pt 0.1855 0.8145 0.5000
Pt 0.3373 0.8437 0.8437
Pt 0.5000 0.0000 0.5000
Pt 0.5000 0.1855 0.8145
Pt 0.5000 0.5000 0.0000
Pt 0.5000 0.8145 0.1855
Pt 0.6627 0.1563 0.1563
Pt 0.8145 0.1855 0.5000
Pt 0.8145 0.5000 0.1855
Pt 0.8437 0.3373 0.8437
Pt 0.8437 0.8437 0.3373

## Properties
E_form (eV/atom): -0.443
Final energy (eV/atom): -6.0156
Total magnetic moment (μB/f.u.): 0.0
SG: No. 166

# 17
Compound: Pr12Fe2I17
Source: Alexandria via LeMat-Bulk
Functional: PBE-GGA
Structure: relaxed

Unit cell a=10.0427 b=12.0901 c=12.1461 alpha=93.54 beta=104.69 gamma=114.23
Positions (direct):
Pr 0.0120 0.1910 0.4159
Pr 0.0557 0.5087 0.3215
Pr 0.1455 0.2864 0.1513
Pr 0.2236 0.6716 0.9870
Pr 0.2576 0.9848 0.8905
Pr 0.3493 0.7591 0.7172
Pr 0.6507 0.2409 0.2828
Pr 0.7424 0.0152 0.1095
Pr 0.7764 0.3284 0.0130
Pr 0.8545 0.7136 0.8487
Pr 0.9443 0.4913 0.6785
Pr 0.9880 0.8090 0.5841
Fe 0.1039 0.7385 0.7857
Fe 0.8961 0.2615 0.2143
I 0.0000 0.0000 0.0000
I 0.0554 0.3686 0.8976
I 0.1564 0.1036 0.6739
I 0.2160 0.4721 0.5812
I 0.2416 0.8141 0.4619
I 0.3273 0.2136 0.3684
I 0.3565 0.5798 0.2389
I 0.4120 0.9481 0.1552
I 0.4500 0.2905 0.0471
I 0.5500 0.7095 0.9529
I 0.5880 0.0519 0.8448
I 0.6435 0.4202 0.7611
I 0.6727 0.7864 0.6316
I 0.7584 0.1859 0.5381
I 0.7840 0.5279 0.4188
I 0.8436 0.8964 0.3261
I 0.9446 0.6314 0.1024

## Properties
Formation energy from raw total energies (eV per atom): -1.13
Final energy (eV/atom): -4.3725
Total magnetic moment (μB/f.u.): 0.0
SG: No. 2

# 18
Compound: Sm3ErCu2
Source: Alexandria via LeMat-Bulk
Functional: PBE-GGA
Structure: relaxed

Unit cell a=4.9785 b=8.8669 c=6.9378 alpha=90.00 beta=90.00 gamma=90.00
Positions (direct):
Sm 0.0000 0.0776 0.0000
Sm 0.0000 0.3397 0.3637
Sm 0.0000 0.6603 0.8637
Sm 0.0000 0.9224 0.5000
Sm 0.5000 0.1640 0.6535
Sm 0.5000 0.8360 0.1535
Er 0.5000 0.4255 0.0201
Er 0.5000 0.5745 0.5201
Cu 0.0000 0.3499 0.7732
Cu 0.0000 0.6501 0.2732
Cu 0.5000 0.1570 0.2445
Cu 0.5000 0.8430 0.7445

## Properties
E_form (eV/atom): -0.128
Final energy (eV/atom): -4.6134
Total magnetic moment (μB/f.u.): 0.0
SG: No. 26

# 19
Compound: Na3Tl5In
Source: Alexandria via LeMat-Bulk
Functional: PBE-GGA
Structure: relaxed

Unit cell a=9.2759 b=9.2759 c=9.2759 alpha=122.30 beta=122.30 gamma=86.06
Positions (direct):
Na 0.1116 0.6116 0.7232
Na 0.2500 0.2500 0.0000
Na 0.3884 0.1116 0.5000
Na 0.6116 0.8884 0.5000
Na 0.7500 0.7500 0.0000
Na 0.8884 0.3884 0.2768
Tl 0.0000 0.0000 0.0000
Tl 0.0683 0.1603 0.5000
Tl 0.1603 0.6603 0.0920
Tl 0.3397 0.4317 0.5000
Tl 0.4317 0.9317 0.0920
Tl 0.5000 0.5000 0.0000
Tl 0.5683 0.0683 0.9080
Tl 0.6603 0.5683 0.5000
Tl 0.8397 0.3397 0.9080
Tl 0.9317 0.8397 0.5000
In 0.2500 0.7500 0.5000
In 0.7500 0.2500 0.5000

## Properties
E_form (eV/atom): 0.006
Final energy (eV/atom): -2.0525
Total magnetic moment (μB/f.u.): 0.0
SG: No. 140

# 20
Compound: TmPu2Co
Source: Alexandria via LeMat-Bulk
Functional: PBE-GGA
Structure: relaxed

Unit cell a=3.3806 b=3.3806 c=8.1207 alpha=90.00 beta=90.00 gamma=90.00
Positions (direct):
Tm 0.0000 0.0000 0.0000
Pu 0.5000 0.5000 0.3085
Pu 0.5000 0.5000 0.6915
Co 0.0000 0.0000 0.5000

## Properties
E_form (eV/atom): 0.115
Final energy (eV/atom): -9.9453
Total magnetic moment (μB/f.u.): 10.7
SG: No. 123